VASP calculation (PBE+U) on an optimized crystal structure of VPb3O6.

The space-group type is Cmc2_1, No. 36. The final energy comes out at -6.210 eV per atom.

Cell lengths 5.845, 7.769, 7.769 Å; angles 103.36, 90.00, 90.00 degrees
Atoms (fractional coordinates):
Pb: 0.485 0.903 0.694
Pb: 0.475 0.409 0.591
Pb: 0.485 0.306 0.097
Pb: 0.985 0.097 0.306
Pb: 0.985 0.694 0.903
Pb: 0.975 0.591 0.409
O: 0.230 0.362 0.344
O: 0.551 0.934 0.066
O: 0.151 0.406 0.887
O: 0.651 0.594 0.113
O: 0.151 0.113 0.594
O: 0.718 0.238 0.762
O: 0.651 0.887 0.406
O: 0.730 0.344 0.362
O: 0.218 0.762 0.238
O: 0.730 0.638 0.656
O: 0.051 0.066 0.934
O: 0.230 0.656 0.638
V: 0.510 0.795 0.205
V: 0.010 0.205 0.795